# 1
## KFe3Pd (PBE)

Data for a relaxed structure of KFe3Pd.

As for the offset from the most stable computed form: 0.0000 eV per atom. Its space group is Pm-3m. As for the formation energy from the elements: 1.07 eV per atom.

a = 4.846 Å, b = 4.846 Å, c = 4.846 Å
α = 90.00°, β = 90.00°, γ = 90.00°
Fractional positions:
Fe 0.000 0.000 0.500
Fe 0.000 0.500 0.000
Fe 0.500 0.000 0.000
K 0.500 0.500 0.500
Pd 0.000 0.000 0.000

---

# 2
## Ta2BeHOs (PBE)

Data for a relaxed structure of Ta2BeHOs.

As for the offset from the most stable computed form: 0.5820 eV per atom. Its space group is P4/mmm.

a = 4.704 Å, b = 2.999 Å, c = 4.704 Å
α = 90.00°, β = 90.00°, γ = 90.00°
Fractional positions:
Ta 0.500 0.000 0.000
Ta 0.000 0.000 0.500
Os 0.500 0.500 0.500
Be 0.000 0.000 0.000
H 0.000 0.500 0.000

---

# 3
## Pu4Ge2S (PBE)

Data for a relaxed structure of Pu4Ge2S.

Its formation energy without anion corrections is -0.510 eV/atom. Its space group is Pbam.

a = 3.504 Å, b = 8.150 Å, c = 10.250 Å
α = 90.00°, β = 90.00°, γ = 90.00°
Fractional positions:
Ge 0.500 0.433 0.611
Ge 0.500 0.567 0.389
Ge 0.500 0.933 0.889
Ge 0.500 0.067 0.111
S 0.000 0.000 0.500
S 0.000 0.500 0.000
Pu 0.500 0.202 0.379
Pu 0.000 0.173 0.734
Pu 0.500 0.298 0.879
Pu 0.000 0.673 0.766
Pu 0.000 0.827 0.266
Pu 0.500 0.702 0.121
Pu 0.500 0.798 0.621
Pu 0.000 0.327 0.234

---

# 4
## CeHo2Zn2In2 (PBE)

Data for a relaxed structure of CeHo2Zn2In2.

Its space group is R-3m. As for the formation energy from the elements: -0.24 eV per atom.

a = 4.730 Å, b = 4.730 Å, c = 9.560 Å
α = 75.68°, β = 75.68°, γ = 60.00°
Fractional positions:
Ho 0.872 0.872 0.385
Ho 0.128 0.128 0.615
Zn 0.600 0.600 0.201
Zn 0.400 0.400 0.799
In 0.740 0.740 0.779
In 0.260 0.260 0.221
Ce 0.000 0.000 0.000